# 1
DFT (PBE) results for an optimized crystal structure of TlHg2GeH.

Results
Total moment, μB per cell: 0.00
Crystal system: tetragonal
Electronic total energy, eV/atom: -2.01
Volume, A^3/atom: 22.66

a b c (Å): 5.601 3.612 5.601
angles (deg): 90.00 90.00 90.00
Element x y z (fractional)
H  0.000  0.500  0.000
Tl  0.500  0.500  0.500
Ge  0.000  0.000  0.000
Hg  0.000  0.000  0.500
Hg  0.500  0.000  0.000

# 2
DFT (PBE) results for an optimized crystal structure of Tl2HgGeH.

Results
Total moment, μB per cell: 0.00
Crystal system: tetragonal
Electronic total energy, eV/atom: -2.40
Volume, A^3/atom: 23.93

a b c (Å): 5.748 5.748 3.621
angles (deg): 90.00 90.00 90.00
Element x y z (fractional)
H  0.000  0.000  0.500
Tl  0.000  0.500  0.000
Tl  0.500  0.000  0.000
Ge  0.000  0.000  0.000
Hg  0.500  0.500  0.500

# 3
DFT (PBE) results for an optimized crystal structure of Y2HgGeH.

Results
Total moment, μB per cell: 0.00
Crystal system: tetragonal
Electronic total energy, eV/atom: -4.63
Volume, A^3/atom: 19.74

a b c (Å): 4.818 4.254 4.818
angles (deg): 90.00 90.00 90.00
Element x y z (fractional)
Y  0.000  0.000  0.500
Y  0.500  0.000  0.000
H  0.000  0.000  0.000
Ge  0.500  0.500  0.500
Hg  0.000  0.500  0.000

# 4
DFT (PBE) results for an optimized crystal structure of Ho4Ge2H.

Results
Total moment, μB per cell: 0.20
Crystal system: tetragonal
Energy above the most stable polymorph in this dataset, eV/atom: 0.031
Electronic total energy, eV/atom: -5.05
Volume, A^3/atom: 21.82

a b c (Å): 4.393 4.393 8.501
angles (deg): 75.03 75.03 90.00
Element x y z (fractional)
H  0.000  0.000  0.000
Ge  0.635  0.635  0.730
Ge  0.365  0.365  0.270
Ho  0.819  0.819  0.361
Ho  0.181  0.181  0.639
Ho  0.000  0.500  0.000
Ho  0.500  0.000  0.000

# 5
DFT (PBE) results for an optimized crystal structure of Ho2GeH.

Results
Total moment, μB per cell: 0.00
Crystal system: orthorhombic
Energy above the most stable polymorph in this dataset, eV/atom: 0.000
Electronic total energy, eV/atom: -4.97
Volume, A^3/atom: 19.80

a b c (Å): 3.976 6.199 7.407
angles (deg): 114.72 105.59 90.00
Element x y z (fractional)
Ho  0.330  0.018  0.236
Ho  0.030  0.480  0.636
Ho  0.630  0.080  0.835
Ho  0.331  0.541  0.235
Ge  0.693  0.642  0.961
Ge  0.968  0.917  0.510
H  0.219  0.168  0.012
H  0.442  0.391  0.459

# 6
DFT (PBE) results for an optimized crystal structure of Ho12Ge3H5.

Results
Total moment, μB per cell: 0.00
Crystal system: cubic
Electronic total energy, eV/atom: -4.67
Volume, A^3/atom: 21.64

a b c (Å): 13.102 13.102 13.102
angles (deg): 109.47 109.47 109.47
Element x y z (fractional)
H  0.125  0.375  0.250
H  0.000  0.500  0.000
H  0.000  0.000  0.000
H  0.375  0.250  0.125
H  0.500  0.000  0.500
H  0.500  0.500  0.000
H  0.125  0.750  0.375
H  0.750  0.125  0.875
H  0.750  0.625  0.375
H  0.375  0.125  0.750
H  0.625  0.875  0.250
H  0.500  0.500  0.500
H  0.500  0.000  0.000
H  0.000  0.000  0.500
H  0.250  0.375  0.625
H  0.250  0.875  0.125
H  0.000  0.500  0.500
H  0.875  0.250  0.625
H  0.625  0.750  0.875
H  0.875  0.625  0.750
Ge  0.750  0.375  0.125
Ge  0.875  0.750  0.125
Ge  0.375  0.750  0.625
Ge  0.250  0.125  0.375
Ge  0.875  0.125  0.250
Ge  0.375  0.625  0.250
Ge  0.625  0.375  0.750
Ge  0.125  0.875  0.750
Ge  0.750  0.875  0.625
Ge  0.625  0.250  0.375
Ge  0.125  0.250  0.875
Ge  0.250  0.625  0.875
Ho  0.712  0.115  0.021
Ho  0.308  0.521  0.405
Ho  0.979  0.385  0.288
Ho  0.521  0.212  0.115
Ho  0.597  0.712  0.692
Ho  0.979  0.595  0.192
Ho  0.308  0.788  0.403
Ho  0.095  0.903  0.115
Ho  0.595  0.979  0.692
Ho  0.712  0.597  0.192
Ho  0.788  0.479  0.385
Ho  0.808  0.905  0.021
Ho  0.115  0.712  0.521
Ho  0.385  0.405  0.097
Ho  0.097  0.905  0.385
Ho  0.403  0.115  0.595
Ho  0.097  0.192  0.212
Ho  0.479  0.692  0.095
Ho  0.808  0.903  0.288
Ho  0.115  0.403  0.095
Ho  0.385  0.979  0.788
Ho  0.595  0.615  0.403
Ho  0.905  0.808  0.521
Ho  0.788  0.308  0.903
Ho  0.405  0.385  0.597
Ho  0.095  0.192  0.479
Ho  0.212  0.692  0.097
Ho  0.192  0.097  0.712
Ho  0.615  0.021  0.212
Ho  0.885  0.597  0.905
Ho  0.521  0.308  0.905
Ho  0.597  0.885  0.405
Ho  0.903  0.808  0.788
Ho  0.903  0.095  0.615
Ho  0.885  0.288  0.479
Ho  0.192  0.095  0.979
Ho  0.615  0.595  0.903
Ho  0.405  0.021  0.308
Ho  0.288  0.403  0.808
Ho  0.212  0.521  0.615
Ho  0.905  0.097  0.885
Ho  0.692  0.212  0.597
Ho  0.479  0.788  0.885
Ho  0.021  0.405  0.808
Ho  0.403  0.288  0.308
Ho  0.021  0.615  0.712
Ho  0.692  0.479  0.595
Ho  0.288  0.885  0.979

# 7
DFT (PBE) results for an optimized crystal structure of Ho3GeH.

Results
Total moment, μB per cell: 0.01
Crystal system: monoclinic
Electronic total energy, eV/atom: -4.80
Volume, A^3/atom: 21.75

a b c (Å): 3.895 6.367 8.920
angles (deg): 100.47 90.00 90.00
Element x y z (fractional)
Ho  0.750  0.584  0.345
Ho  0.250  0.416  0.655
Ho  0.750  0.225  0.931
Ho  0.250  0.902  0.634
Ho  0.250  0.775  0.069
Ho  0.750  0.098  0.366
Ge  0.250  0.285  0.171
Ge  0.750  0.715  0.829
H  0.250  0.835  0.348
H  0.750  0.165  0.652

# 8
DFT (PBE) results for an optimized crystal structure of Ho4Ge2H.

Results
Total moment, μB per cell: 0.00
Crystal system: monoclinic
Energy above the most stable polymorph in this dataset, eV/atom: 0.000
Electronic total energy, eV/atom: -5.08
Volume, A^3/atom: 22.33

a b c (Å): 6.145 6.404 8.438
angles (deg): 90.00 109.72 90.00
Element x y z (fractional)
Ho  0.514  0.500  0.265
Ho  0.096  0.750  0.910
Ho  0.904  0.250  0.090
Ho  0.514  0.000  0.265
Ho  0.928  0.250  0.620
Ho  0.486  0.000  0.735
Ho  0.486  0.500  0.735
Ho  0.072  0.750  0.380
Ge  0.708  0.750  0.046
Ge  0.292  0.250  0.954
Ge  0.244  0.250  0.430
Ge  0.756  0.750  0.570
H  0.253  0.750  0.190
H  0.747  0.250  0.810

# 9
DFT (PBE) results for an optimized crystal structure of Ho2GeH.

Results
Total moment, μB per cell: 0.45
Crystal system: trigonal
Energy above the most stable polymorph in this dataset, eV/atom: 0.333
Electronic total energy, eV/atom: -4.64
Volume, A^3/atom: 28.18

a b c (Å): 4.342 4.342 7.345
angles (deg): 72.81 72.81 60.00
Element x y z (fractional)
H  0.000  0.000  0.000
Ge  0.500  0.500  0.500
Ho  0.101  0.101  0.698
Ho  0.899  0.899  0.302

# 10
DFT (PBE) results for an optimized crystal structure of Ho3Ge2H.

Results
Total moment, μB per cell: 0.00
Crystal system: monoclinic
Electronic total energy, eV/atom: -4.98
Volume, A^3/atom: 23.02

a b c (Å): 5.720 8.044 6.947
angles (deg): 106.80 114.31 90.00
Element x y z (fractional)
Ho  0.467  0.250  0.000
Ho  0.533  0.750  0.000
Ho  0.165  0.084  0.334
Ho  0.831  0.416  0.666
Ho  0.169  0.584  0.334
Ho  0.835  0.916  0.666
Ge  0.667  0.582  0.329
Ge  0.661  0.082  0.329
Ge  0.339  0.918  0.671
Ge  0.333  0.418  0.671
H  0.953  0.750  0.000
H  0.047  0.250  0.000

# 11
DFT (PBE) results for an optimized crystal structure of Ho2GeH2.

Results
Total moment, μB per cell: 0.00
Crystal system: monoclinic
Electronic total energy, eV/atom: -4.83
Volume, A^3/atom: 15.65

a b c (Å): 5.122 5.182 6.435
angles (deg): 90.00 113.67 90.00
Element x y z (fractional)
Ho  0.890  0.250  0.282
Ho  0.390  0.750  0.282
Ho  0.110  0.750  0.718
Ho  0.610  0.250  0.718
Ge  0.750  0.750  0.000
Ge  0.250  0.250  0.000
H  0.750  0.500  0.500
H  0.250  0.000  0.500
H  0.250  0.500  0.500
H  0.750  0.000  0.500

# 12
DFT (PBE) results for an optimized crystal structure of Ho6Ge3H.

Results
Total moment, μB per cell: 0.00
Crystal system: orthorhombic
Electronic total energy, eV/atom: -5.00
Volume, A^3/atom: 25.52

a b c (Å): 6.671 8.851 8.851
angles (deg): 102.39 90.00 90.00
Element x y z (fractional)
Ho  0.195  0.694  0.635
Ho  0.695  0.635  0.694
Ho  0.181  0.432  0.895
Ho  0.681  0.895  0.432
Ho  0.153  0.048  0.952
Ho  0.691  0.227  0.773
Ho  0.191  0.773  0.227
Ho  0.653  0.952  0.048
Ho  0.181  0.105  0.568
Ho  0.681  0.568  0.105
Ho  0.195  0.365  0.306
Ho  0.695  0.306  0.365
Ge  0.472  0.940  0.722
Ge  0.972  0.722  0.940
Ge  0.406  0.388  0.612
Ge  0.906  0.612  0.388
Ge  0.972  0.060  0.278
Ge  0.472  0.278  0.060
H  0.039  0.201  0.799
H  0.539  0.799  0.201

Which formula does entry 2 have? Tl2HgGeH

Please write out number 7 again, unchanged.
DFT (PBE) results for an optimized crystal structure of Ho3GeH.

Results
Total moment, μB per cell: 0.01
Crystal system: monoclinic
Electronic total energy, eV/atom: -4.80
Volume, A^3/atom: 21.75

a b c (Å): 3.895 6.367 8.920
angles (deg): 100.47 90.00 90.00
Element x y z (fractional)
Ho  0.750  0.584  0.345
Ho  0.250  0.416  0.655
Ho  0.750  0.225  0.931
Ho  0.250  0.902  0.634
Ho  0.250  0.775  0.069
Ho  0.750  0.098  0.366
Ge  0.250  0.285  0.171
Ge  0.750  0.715  0.829
H  0.250  0.835  0.348
H  0.750  0.165  0.652